[1]
## CaNb3Cl (meta-GGA SCAN)

Data for a crystal of CaNb3Cl relaxed with PBEsol.

Raw formation energy in eV/atom: 0.583
D(E_F) in states/eV/atom: 1.230
V in A^3/atom: 20.1
Raw total energy in eV for the cell shown: -114.12
M_tot in μB/f.u.: 0.0

a b c (Å): 4.653 4.653 4.653
angles (deg): 90.00 90.00 90.00
Space group Pm-3m (No. 221)
Asymmetric unit:
Ca 0.000 0.000 0.000 x1
Nb 0.000 0.500 0.500 x3
Cl 0.500 0.500 0.500 x1

[2]
## TaSCl2 (meta-GGA SCAN)

Data for a crystal of TaSCl2 relaxed with PBEsol.

Raw formation energy in eV/atom: 0.383
D(E_F) in states/eV/atom: 0.364
V in A^3/atom: 15.4
E above lowest polymorph in meV/atom: 641
Raw total energy in eV for the cell shown: -362.53
M_tot in μB/f.u.: 0.0

a b c (Å): 6.269 6.269 6.269
angles (deg): 90.00 90.00 90.00
Space group Fm-3m (No. 225)
Asymmetric unit:
Ta 0.000 0.000 0.000 x4
S 0.000 0.000 0.500 x4
Cl 0.250 0.250 0.250 x8

[3]
## CaSiAg (meta-GGA SCAN)

Data for a crystal of CaSiAg relaxed with PBEsol.

Raw formation energy in eV/atom: -0.385
D(E_F) in states/eV/atom: 0.243
V in A^3/atom: 20.3
Raw total energy in eV for the cell shown: -52.20
M_tot in μB/f.u.: 0.0

a b c (Å): 4.4473 4.4473 3.5515
angles (deg): 90.00 90.00 120.00
Space group P-6m2 (No. 187)
Asymmetric unit:
Ca 0.0000 0.0000 0.0000 x1
Si 0.6667 0.3333 0.5000 x1
Ag 0.3333 0.6667 0.5000 x1

[4]
## CdTc (meta-GGA SCAN)

Data for a crystal of CdTc relaxed with PBEsol.

D(E_F) in states/eV/atom: 0.715
V in A^3/atom: 16.5
Formation energy from the elements in meV/atom: 400
E above lowest polymorph in meV/atom: 109
Raw total energy in eV for the cell shown: -129.35
M_tot in μB/f.u.: 0.0

a b c (Å): 4.421 2.854 5.243
angles (deg): 90.00 90.00 90.00
Space group Pmma (No. 51)
Asymmetric unit:
Cd 0.250 0.000 0.145 x2
Tc 0.250 0.500 0.613 x2

[5]
## MgTlZn2 (meta-GGA SCAN)

Data for a crystal of MgTlZn2 relaxed with PBEsol.

D(E_F) in states/eV/atom: 0.341
V in A^3/atom: 19.5
Formation energy from the elements in meV/atom: 66
E above lowest polymorph in meV/atom: 0
Raw total energy in eV for the cell shown: -104.10
M_tot in μB/f.u.: 0.0

a b c (Å): 3.158 3.158 7.807
angles (deg): 90.00 90.00 90.00
Space group P4mm (No. 99)
Asymmetric unit:
Mg 0.000 0.000 0.000 x1
Tl 0.500 0.500 0.689 x1
Zn 0.000 0.000 0.409 x1
Zn 0.500 0.500 0.229 x1

[6]
## YMg4Zr (meta-GGA SCAN)

Data for a crystal of YMg4Zr relaxed with PBEsol.

D(E_F) in states/eV/atom: 0.831
V in A^3/atom: 23.4
Formation energy from the elements in meV/atom: 3
Raw total energy in eV for the cell shown: -313.68
M_tot in μB/f.u.: 2.8

a b c (Å): 8.252 8.252 8.252
angles (deg): 90.00 90.00 90.00
Space group F-43m (No. 216)
Asymmetric unit:
Y 0.000 0.000 0.000 x4
Mg 0.124 0.124 0.624 x16
Zr 0.250 0.250 0.250 x4

[7]
## CrPtSe2 (meta-GGA SCAN)

Data for a crystal of CrPtSe2 relaxed with PBEsol.

Raw formation energy in eV/atom: -0.322
D(E_F) in states/eV/atom: 0.493
V in A^3/atom: 19.9
E above lowest polymorph in meV/atom: 54
Raw total energy in eV for the cell shown: -260.05
M_tot in μB/f.u.: 2.9

a b c (Å): 12.048 2.901 4.592
angles (deg): 90.00 98.29 90.00
Space group C2/m (No. 12)
Asymmetric unit:
Cr 0.000 0.000 0.000 x2
Pt 0.000 0.500 0.500 x2
Se 0.152 0.500 0.205 x4

[8]
## Y2AlTlB (meta-GGA SCAN)

Data for a crystal of Y2AlTlB relaxed with PBEsol.

D(E_F) in states/eV/atom: 0.798
V in A^3/atom: 23.7
Formation energy from the elements in meV/atom: 305
Raw total energy in eV for the cell shown: -141.70
M_tot in μB/f.u.: 0.0

a b c (Å): 5.508 5.508 3.898
angles (deg): 90.00 90.00 90.00
Space group P4/mmm (No. 123)
Asymmetric unit:
Y 0.000 0.500 0.000 x2
Al 0.000 0.000 0.000 x1
Tl 0.500 0.500 0.500 x1
B 0.000 0.000 0.500 x1

[9]
## Zr5Ge4 (meta-GGA SCAN)

Data for a crystal of Zr5Ge4 relaxed with PBEsol.

D(E_F) in states/eV/atom: 0.548
V in A^3/atom: 18.8
Formation energy from the elements in meV/atom: -954
Raw total energy in eV for the cell shown: -953.72
M_tot in μB/f.u.: 0.0

a b c (Å): 7.191 7.191 13.074
angles (deg): 90.00 90.00 90.00
Space group P4_12_12 (No. 92)
Asymmetric unit:
Zr 0.001 0.344 0.219 x8
Zr 0.002 0.847 0.123 x8
Zr 0.171 0.171 0.000 x4
Ge 0.039 0.303 0.816 x8
Ge 0.141 0.798 0.922 x8

[10]
## ScNCl2 (meta-GGA SCAN)

Data for a crystal of ScNCl2 relaxed with PBEsol.

Raw formation energy in eV/atom: -0.081
D(E_F) in states/eV/atom: 0.231
V in A^3/atom: 16.6
Raw total energy in eV for the cell shown: -159.23
M_tot in μB/f.u.: 0.0

a b c (Å): 3.990 3.990 16.688
angles (deg): 90.00 90.00 90.00
Space group I-42d (No. 122)
Asymmetric unit:
Sc 0.000 0.000 0.000 x4
N 0.000 0.000 0.500 x4
Cl 0.249 0.250 0.125 x8

[11]
## TcSbRu2 (meta-GGA SCAN)

Data for a crystal of TcSbRu2 relaxed with PBEsol.

Raw formation energy in eV/atom: 0.286
D(E_F) in states/eV/atom: 0.867
V in A^3/atom: 15.0
Raw total energy in eV for the cell shown: -281.66
M_tot in μB/f.u.: 0.0

a b c (Å): 3.061 4.457 8.799
angles (deg): 90.00 90.00 90.00
Space group Immm (No. 71)
Asymmetric unit:
Tc 0.000 0.000 0.000 x2
Sb 0.000 0.000 0.500 x2
Ru 0.000 0.500 0.235 x4

[12]
## Sc3Pb (meta-GGA SCAN)

Data for a crystal of Sc3Pb relaxed with PBEsol.

D(E_F) in states/eV/atom: 0.959
V in A^3/atom: 23.1
Formation energy from the elements in meV/atom: -343
Raw total energy in eV for the cell shown: -119.86
M_tot in μB/f.u.: 0.6

a b c (Å): 3.453 4.261 6.288
angles (deg): 90.00 90.00 90.00
Space group Pmmm (No. 47)
Asymmetric unit:
Sc 0.000 0.000 0.000 x1
Sc 0.500 0.500 0.245 x2
Pb 0.000 0.000 0.500 x1